# ZnCoAs2, optimized geometry, DFT GGA-PBE
data_ZnCoAs2
_chemical_formula_sum 'Zn1 Co1 As2'
_cell_length_a 4.1696
_cell_length_b 4.1696
_cell_length_c 3.5107
_cell_angle_alpha 90.00
_cell_angle_beta 90.00
_cell_angle_gamma 90.00
_symmetry_space_group_name_H-M 'P 4/m m m'
_symmetry_Int_Tables_number 123
_symmetry_space_group_name_Hall '-P 4 2'
loop_
_atom_site_label
_atom_site_type_symbol
_atom_site_fract_x
_atom_site_fract_y
_atom_site_fract_z
Zn1 Zn 0.0000 0.0000 0.0000
Co1 Co 0.5000 0.5000 0.0000
As1 As 0.0000 0.5000 0.5000
# Energy of formation from the pure elements in eV per atom: 0.28

=====

# La8TeRh3I4, optimized geometry, DFT GGA-PBE
data_La8TeRh3I4
_chemical_formula_sum 'La24 Te3 Rh9 I12'
_cell_length_a 8.7594
_cell_length_b 8.7594
_cell_length_c 24.3000
_cell_angle_alpha 90.00
_cell_angle_beta 90.00
_cell_angle_gamma 120.00
_symmetry_space_group_name_H-M 'R -3 m'
_symmetry_Int_Tables_number 166
_symmetry_space_group_name_Hall '-R 3 2"'
loop_
_atom_site_label
_atom_site_type_symbol
_atom_site_fract_x
_atom_site_fract_y
_atom_site_fract_z
La1 La 0.0000 0.0000 0.2294
La2 La 0.0280 0.5140 0.7686
Te1 Te 0.0000 0.0000 0.5000
Rh1 Rh 0.0000 0.5000 0.5000
I1 I 0.0000 0.0000 0.0000
I2 I 0.0000 0.5000 0.0000
# Energy relative to the elements, uncorrected in eV per atom: -1.055

=====

# PI3Br, optimized geometry, DFT GGA-PBE
data_PI3Br
_chemical_formula_sum 'P4 I12 Br4'
_cell_length_a 18.8571
_cell_length_b 4.8009
_cell_length_c 14.1921
_cell_angle_alpha 90.00
_cell_angle_beta 106.17
_cell_angle_gamma 90.00
_symmetry_space_group_name_H-M 'C 1 2/m 1'
_symmetry_Int_Tables_number 12
_symmetry_space_group_name_Hall '-C 2y'
loop_
_atom_site_label
_atom_site_type_symbol
_atom_site_fract_x
_atom_site_fract_y
_atom_site_fract_z
P1 P 0.2441 0.0000 0.4823
I1 I 0.0072 0.5000 0.1049
I2 I 0.1119 0.0000 0.3967
I3 I 0.1954 0.5000 0.6515
Br1 Br 0.0566 0.5000 0.7488
# E above lowest polymorph in kJ/mol of formula units: 0.0
# Energy relative to the elements, uncorrected in eV per atom: -0.001

=====

# LiVCd, optimized geometry, DFT GGA-PBE
data_LiVCd
_chemical_formula_sum 'Li2 V2 Cd2'
_cell_length_a 4.2141
_cell_length_b 4.2141
_cell_length_c 10.9026
_cell_angle_alpha 90.00
_cell_angle_beta 90.00
_cell_angle_gamma 120.00
_symmetry_space_group_name_H-M 'P 63/m m c'
_symmetry_Int_Tables_number 194
_symmetry_space_group_name_Hall '-P 6c 2c'
loop_
_atom_site_label
_atom_site_type_symbol
_atom_site_fract_x
_atom_site_fract_y
_atom_site_fract_z
Li1 Li 0.3333 0.6667 0.2500
V1 V 0.0000 0.0000 0.0000
Cd1 Cd 0.0000 0.0000 0.2500
# Energy of formation from the pure elements in eV per atom: 1.24
# E above lowest polymorph in kJ/mol of formula units: 320.2